10
Lattice="2.704 0.000 0.000 0.000 6.681 -2.477 0.000 -0.423 9.108" Properties=species:S:1:pos:R:3 comment="Fe2Ir7Pt PBE relaxed" e_form_ev_per_atom=0.422 total_energy_ev_per_atom=-8.077 space_group="No. 65" dos_ef_per_ev_cell=11.35 pbc="T T T"
Ir 1.352 6.074 -0.213
Ir 1.352 4.321 5.310
Fe 1.352 1.362 3.673
Ir 0.000 2.106 5.681
Fe 1.352 4.896 2.957
Ir 1.352 0.185 6.843
Ir 1.352 1.937 1.321
Ir 1.352 3.341 -1.238
Pt 0.000 0.000 0.000
Ir 0.000 4.152 0.949